Ac2Ir2Pb | PBE | optimized geometry

Cell lengths 4.6420, 6.0356, 6.0357 Å; angles 62.45, 67.38, 67.38 degrees
Last column: nearest neighbours and their distance in Å.
Positions (direct):
Pb1 0.5000 0.5000 0.0000  4 Ir 2.98
Ir1 0.0000 0.7986 0.7014  1 Ir 2.52
Ir2 0.0000 0.2014 0.2986  1 Ir 2.52
Ac1 0.2914 0.2086 0.7086  6 Ir 3.27, 2 Pb 3.55
Ac2 0.7086 0.7914 0.2914  6 Ir 3.27, 2 Pb 3.55

Properties
Formation energy (meV/atom): -506
Space group: No. 71
Magnetic moment (μB per formula unit): 0.000
D(E_F) (states/eV per cell): 4.2
Total DFT energy (no corrections) (eV per atom): -6.435

---

ZrAl | PBE | optimized geometry

Cell lengths 4.8516, 4.8516, 5.4693 Å; angles 90.00, 90.00, 120.00 degrees
Last column: nearest neighbours and their distance in Å.
Positions (direct):
Al1 0.6667 0.3333 0.4355  5 Zr 2.73-2.80
Al2 0.3333 0.6667 0.9355  5 Zr 2.73-2.80
Zr1 0.3333 0.6667 0.4355  5 Al 2.73-2.80
Zr2 0.6667 0.3333 0.9355  5 Al 2.73-2.80

Properties
Formation energy (meV/atom): 689
Space group: No. 194
Magnetic moment (μB per formula unit): 0.001
D(E_F) (states/eV per cell): 8.3
Total DFT energy (no corrections) (eV per atom): -5.456

---

Tb4GePd3 | PBE | optimized geometry

Cell lengths 3.8680, 4.4132, 10.7684 Å; angles 90.00, 90.00, 90.00 degrees
Last column: nearest neighbours and their distance in Å.
Positions (direct):
Tb1 0.0000 0.0000 0.1385  3 Pd 2.98-3.06, 4 Ge 2.99
Tb2 0.0000 0.5000 0.8593  5 Pd 2.95-3.00, 2 Ge 3.09
Tb3 0.5000 0.0000 0.6377  7 Pd 2.99-3.08
Tb4 0.5000 0.5000 0.3626  6 Pd 2.99-3.08, 1 Ge 3.01
Pd1 0.5000 0.0000 0.9180  2 Ge 2.83, 7 Tb 3.00-3.06
Pd2 0.0000 0.0000 0.4149  2 Pd 2.87, 7 Tb 2.98-3.08
Pd3 0.0000 0.5000 0.5858  2 Pd 2.87, 7 Tb 2.95-3.08
Ge1 0.5000 0.5000 0.0832  2 Pd 2.83, 7 Tb 2.99-3.09

Properties
Formation energy (meV/atom): -885
Space group: No. 25
Magnetic moment (μB per formula unit): 0.000
D(E_F) (states/eV per cell): 4.9
Total DFT energy (no corrections) (eV per atom): -5.725

---

ReTeI2 | PBE | optimized geometry

Cell lengths 7.6316, 7.6316, 7.0568 Å; angles 57.27, 57.27, 90.00 degrees
Last column: nearest neighbours and their distance in Å.
Positions (direct):
Re1 0.0000 0.0000 0.0000  4 I 2.58
Re2 0.7500 0.2500 0.5000  4 I 2.58
Te1 0.5000 0.5000 0.0000  4 I 3.34
Te2 0.2500 0.7500 0.5000  4 I 3.34
I1 0.0476 0.6250 0.2500  2 Re 2.58
I2 0.7024 0.1250 0.2500  2 Re 2.58
I3 0.8750 0.9524 0.7500  2 Re 2.58
I4 0.3750 0.2977 0.7500  2 Re 2.58

Properties
E above lowest polymorph (meV/atom): 0
Space group: No. 122
Magnetic moment (μB per formula unit): 0.000
D(E_F) (states/eV per cell): 12.1
Formation energy without anion corrections (eV per atom): 1.078
Total DFT energy (no corrections) (eV per atom): -3.595

---

LaTeP | PBE | optimized geometry

Cell lengths 4.1881, 3.9550, 12.0755 Å; angles 90.00, 90.29, 90.00 degrees
Last column: nearest neighbours and their distance in Å.
Positions (direct):
P1 0.1760 0.0000 0.6449  2 P 2.40
P2 0.4988 0.5000 0.6449  2 P 2.40
La1 0.6326 0.0000 0.8416  4 P 3.04-3.30, 4 Te 3.20-3.21
La2 0.6269 0.0000 0.4483  4 P 3.04-3.30, 4 Te 3.20-3.21
Te1 0.1359 0.5000 0.9580  4 La 3.20-3.21
Te2 0.1267 0.5000 0.3319  4 La 3.20-3.21

Properties
Space group: No. 6
Magnetic moment (μB per formula unit): 0.000
D(E_F) (states/eV per cell): 2.0
Formation energy without anion corrections (eV per atom): -1.127
Total DFT energy (no corrections) (eV per atom): -5.620

---

CaTaRh2 | PBE | optimized geometry

Cell lengths 5.4564, 5.4564, 5.4564 Å; angles 138.57, 138.57, 60.04 degrees
Last column: nearest neighbours and their distance in Å.
Positions (direct):
Ta1 0.5000 0.5000 0.0000  8 Rh 2.73-3.05, 4 Ca 3.05
Rh1 0.0000 0.0000 0.0000  4 Ta 2.73, 4 Ca 3.05, 4 Rh 3.05
Rh2 0.2500 0.7500 0.5000  4 Ca 2.73, 4 Ta 3.05, 4 Rh 3.05
Ca1 0.7500 0.2500 0.5000  8 Rh 2.73-3.05, 4 Ta 3.05

Properties
Formation energy (meV/atom): -49
Space group: No. 119
Magnetic moment (μB per formula unit): 0.000
D(E_F) (states/eV per cell): 2.2
Total DFT energy (no corrections) (eV per atom): -7.188

---

RbBa2NaP | PBE | optimized geometry

Cell lengths 6.4106, 6.4106, 6.0991 Å; angles 90.00, 90.00, 90.00 degrees
Last column: nearest neighbours and their distance in Å.
Positions (direct):
Rb1 0.5000 0.5000 0.5000  8 Ba 4.42, 4 Na 4.53
Ba1 0.5000 0.0000 0.0000  2 P 3.21
Ba2 0.0000 0.5000 0.0000  2 P 3.21
P1 0.0000 0.0000 0.0000  2 Na 3.05, 4 Ba 3.21
Na1 0.0000 0.0000 0.5000  2 P 3.05

Properties
E above lowest polymorph (meV/atom): 36
Formation energy (meV/atom): -302
Space group: No. 123
Magnetic moment (μB per formula unit): 0.000
D(E_F) (states/eV per cell): 3.3
Total DFT energy (no corrections) (eV per atom): -2.611